Computed, not measured: crystalline Ta2CrPt at its relaxed geometry at the GGA-PBE level of DFT.

a b c (Å): 2.8197 4.5859 5.0211
angles (deg): 90.00 97.13 90.00
Closest atoms and distances in Å follow each position.
Positions (direct):
Ta (0.0000, 0.0000, 0.0000)  4 Cr 2.67-2.90, 3 Pt 2.70-2.79, 4 Ta 2.82-2.97
Ta (0.2210, 0.5000, 0.6607)  1 Cr 2.52, 2 Pt 2.76, 2 Ta 2.82
Cr (0.6132, 0.5000, 0.1393)  3 Ta 2.52-2.67, 2 Cr 2.82
Pt (0.6207, 0.0000, 0.4789)  7 Ta 2.70-2.93, 2 Pt 2.82, 2 Cr 2.86

D(E_F) = 0.958 states/eV/atom
Calculated formation energy = -64.2 kJ/mol of formula units